The following is a DFT calculation (GGA-PBEsol) of CaAsCl after structural relaxation.

a = 3.555 Å, b = 3.555 Å, c = 7.413 Å
α = 90.00°, β = 90.00°, γ = 120.00°
Fractional positions:
Ca1 0.000 0.000 0.000
As1 0.333 0.667 0.312
Cl1 0.667 0.333 0.779

DOS at the Fermi energy ... 0.7943 states/eV per atom
Uncorrected formation energy ... -274 kJ/mol of formula units
Magnetization ... 0.00 μB/cell

---

The following is a DFT calculation (GGA-PBEsol) of CaAs4Cl after structural relaxation.

a = 5.675 Å, b = 5.675 Å, c = 5.675 Å
α = 60.00°, β = 60.00°, γ = 60.00°
Fractional positions:
Ca1 0.000 0.000 0.000
As1 0.160 0.613 0.613
As2 0.613 0.160 0.613
As3 0.613 0.613 0.160
As4 0.613 0.613 0.613
Cl1 0.250 0.250 0.250

DOS at the Fermi energy ... 0.7746 states/eV per atom
Uncorrected formation energy ... -208 kJ/mol of formula units
Magnetization ... 0.00 μB/cell

---

The following is a DFT calculation (GGA-PBEsol) of CaAsCl2 after structural relaxation.

a = 3.579 Å, b = 5.487 Å, c = 5.174 Å
α = 90.00°, β = 90.00°, γ = 90.00°
Fractional positions:
Ca1 0.000 0.000 0.000
As1 0.500 0.500 0.000
Cl1 0.000 0.000 0.505
Cl2 0.500 0.500 0.425

ΔE to the lowest computed polymorph ... 100 meV per atom
DOS at the Fermi energy ... 0.3712 states/eV per atom
Uncorrected formation energy ... -372 kJ/mol of formula units
Magnetization ... 0.00 μB/cell

---

The following is a DFT calculation (GGA-PBEsol) of Ca2AsClO4 after structural relaxation.

a = 6.285 Å, b = 7.090 Å, c = 10.987 Å
α = 90.00°, β = 90.00°, γ = 90.00°
Fractional positions:
Ca1 0.122 0.250 0.000
Ca2 0.122 0.250 0.500
Ca3 0.357 0.524 0.250
Ca4 0.357 0.976 0.750
Ca5 0.643 0.024 0.250
Ca6 0.643 0.476 0.750
Ca7 0.878 0.750 0.000
Ca8 0.878 0.750 0.500
As1 0.374 0.750 0.000
As2 0.374 0.750 0.500
As3 0.626 0.250 0.000
As4 0.626 0.250 0.500
Cl1 0.012 0.694 0.750
Cl2 0.012 0.806 0.250
Cl3 0.988 0.194 0.750
Cl4 0.988 0.306 0.250
O1 0.208 0.565 0.030
O2 0.208 0.565 0.470
O3 0.208 0.935 0.530
O4 0.208 0.935 0.970
O5 0.463 0.238 0.625
O6 0.463 0.238 0.875
O7 0.463 0.262 0.125
O8 0.463 0.262 0.375
O9 0.537 0.738 0.625
O10 0.537 0.738 0.875
O11 0.537 0.762 0.125
O12 0.537 0.762 0.375
O13 0.792 0.065 0.030
O14 0.792 0.065 0.470
O15 0.792 0.435 0.530
O16 0.792 0.435 0.970

DOS at the Fermi energy ... 0.0000 states/eV per atom
Uncorrected formation energy ... -1815 kJ/mol of formula units
Magnetization ... 0.00 μB/cell